DFT (GGA-PBE) results for a geometry-optimized HoPuZn17 structure.

Unit cell a=6.798 b=6.798 c=6.798 alpha=82.64 beta=82.64 gamma=82.64
Each line ends with the local moment (μB).
Element x y z (fractional)
Zn (0.001, 0.001, 0.499)  0.00
Zn (0.297, 0.999, 0.703)  0.00
Zn (0.999, 0.297, 0.703)  0.00
Zn (0.646, 0.162, 0.646)  0.00
Zn (0.353, 0.839, 0.353)  0.00
Zn (0.499, 0.001, 0.001)  0.00
Zn (0.162, 0.646, 0.646)  0.00
Zn (0.099, 0.099, 0.099)  0.00
Zn (0.839, 0.353, 0.353)  0.00
Zn (0.646, 0.646, 0.162)  0.00
Zn (0.353, 0.353, 0.839)  0.00
Zn (0.297, 0.703, 0.999)  0.00
Zn (0.999, 0.703, 0.297)  0.00
Zn (0.703, 0.999, 0.297)  0.00
Zn (0.001, 0.499, 0.001)  0.00
Zn (0.900, 0.900, 0.900)  -0.01
Zn (0.703, 0.297, 0.999)  0.00
Pu (0.335, 0.335, 0.335)  5.30
Ho (0.665, 0.665, 0.665)  -0.05

Output
The calculation puts the energy relative to the elements at -183 meV/atom. The density of states at the Fermi level is 0.7884 states/eV/atom.

=====

DFT (GGA-PBE) results for a geometry-optimized Ho2PuZn6 structure.

Unit cell a=3.351 b=7.854 c=7.854 alpha=120.00 beta=90.00 gamma=90.00
Each line ends with the local moment (μB).
Element x y z (fractional)
Zn (0.500, 0.336, 0.000)  0.00
Zn (0.500, 0.000, 0.336)  0.00
Zn (0.500, 0.664, 0.664)  0.00
Zn (0.500, 0.000, 0.664)  0.00
Zn (0.500, 0.336, 0.336)  0.00
Zn (0.500, 0.664, 0.000)  0.00
Pu (0.000, 0.000, 0.000)  5.35
Ho (0.000, 0.667, 0.333)  0.03
Ho (0.000, 0.333, 0.667)  0.03

Output
The calculation puts the energy relative to the elements at -284 meV/atom. The density of states at the Fermi level is 1.5386 states/eV/atom.

=====

DFT (GGA-PBE) results for a geometry-optimized HoPuZn2 structure.

Unit cell a=3.537 b=5.053 c=5.053 alpha=90.00 beta=90.00 gamma=90.00
Each line ends with the local moment (μB).
Element x y z (fractional)
Zn (0.000, 0.500, 0.000)  0.04
Zn (0.000, 0.000, 0.500)  0.04
Ho (0.500, 0.500, 0.500)  0.07
Pu (0.500, 0.000, 0.000)  5.50

Output
The calculation puts the energy relative to the elements at -189 meV/atom. The density of states at the Fermi level is 1.6979 states/eV/atom. As for the relative energy among the computed polymorphs: 0 meV/atom.

=====

These records have calculated total energy values of -44.05, -33.69, -22.21 eV for the cell shown, in the order they appear.